Record 1
The following is a DFT calculation (PBE) of crystalline RbMnRhCl6 at its relaxed geometry.

Values from the calculation:
Mass density in g/cm3: 2.87
E_form (uncorrected) in kcal/mol of atoms: -25.065
Spin magnetization in Bohr magnetons per cell: 5.00
DFT total energy in eV for the cell shown: -38.351

```
data_RbMnRhCl6
_cell_length_a 6.4212
_cell_length_b 6.4212
_cell_length_c 7.3927
_cell_angle_alpha 90.00
_cell_angle_beta 90.00
_cell_angle_gamma 120.00
_space_group_name_H-M_alt 'P 3 1 2'
_space_group_IT_number 149
loop_
_space_group_symop_operation_xyz
'x,y,z'
'-y,x-y,z'
'-x+y,-x,z'
'-y,-x,-z'
'-x+y,y,-z'
'x,x-y,-z'
loop_
_atom_site_label
_atom_site_fract_x
_atom_site_fract_y
_atom_site_fract_z
Rb1 0.0000 0.0000 0.0000
Mn1 0.3333 0.6667 0.5000
Rh1 0.6667 0.3333 0.5000
Cl1 0.3770 0.0198 0.6846
```


Record 2
The following is a DFT calculation (PBE) of crystalline Ac6TlGe at its relaxed geometry.

Values from the calculation:
Mass density in g/cm3: 7.83
Calculated formation energy in eV per atom: -0.069
Spin magnetization in Bohr magnetons per cell: 0.00
DFT total energy in eV for the cell shown: -64.370

```
data_Ac6TlGe
_cell_length_a 7.767
_cell_length_b 13.063
_cell_length_c 7.561
_cell_angle_alpha 90.00
_cell_angle_beta 114.98
_cell_angle_gamma 90.00
_space_group_name_H-M_alt 'C 1 2/m 1'
_space_group_IT_number 12
loop_
_space_group_symop_operation_xyz
'x,y,z'
'-x,-y,-z'
'-x,y,-z'
'x,-y,z'
'x+1/2,y+1/2,z'
'-x+1/2,-y+1/2,-z'
'-x+1/2,y+1/2,-z'
'x+1/2,-y+1/2,z'
loop_
_atom_site_label
_atom_site_fract_x
_atom_site_fract_y
_atom_site_fract_z
Ac1 0.216 0.191 0.246
Ac2 0.236 0.000 0.763
Tl1 0.000 0.500 0.500
Ge1 0.000 0.000 0.000
```


Record 3
The following is a DFT calculation (PBE) of crystalline Ni3IrS at its relaxed geometry.

Values from the calculation:
Mass density in g/cm3: 9.85
Energy above the most stable polymorph in this dataset in eV/f.u.: 0.00
E_form (uncorrected) in kcal/mol of atoms: 9.119
Spin magnetization in Bohr magnetons per cell: 0.00
DFT total energy in eV for the cell shown: -28.355

```
data_Ni3IrS
_cell_length_a 4.071
_cell_length_b 4.071
_cell_length_c 4.071
_cell_angle_alpha 90.00
_cell_angle_beta 90.00
_cell_angle_gamma 90.00
_space_group_name_H-M_alt 'P m -3 m'
_space_group_IT_number 221
_space_group_name_Hall '-P 4 2 3'
loop_
_atom_site_label
_atom_site_fract_x
_atom_site_fract_y
_atom_site_fract_z
Ni1 0.000 0.000 0.500
Ir1 0.500 0.500 0.500
S1 0.000 0.000 0.000
```


Record 4
The following is a DFT calculation (PBE) of crystalline Mg2HgCl6 at its relaxed geometry.

Values from the calculation:
Mass density in g/cm3: 2.61
Energy above the most stable polymorph in this dataset in eV/f.u.: 0.37
E_form (uncorrected) in kcal/mol of atoms: -31.617
Spin magnetization in Bohr magnetons per cell: 0.00
DFT total energy in eV for the cell shown: -107.640

```
data_Mg2HgCl6
_cell_length_a 14.194
_cell_length_b 13.796
_cell_length_c 6.752
_cell_angle_alpha 90.00
_cell_angle_beta 117.33
_cell_angle_gamma 90.00
_space_group_name_H-M_alt 'C 1 2/c 1'
_space_group_IT_number 15
loop_
_space_group_symop_operation_xyz
'x,y,z'
'-x,-y,-z'
'-x,y,-z+1/2'
'x,-y,z+1/2'
'x+1/2,y+1/2,z'
'-x+1/2,-y+1/2,-z'
'-x+1/2,y+1/2,-z+1/2'
'x+1/2,-y+1/2,z+1/2'
loop_
_atom_site_label
_atom_site_fract_x
_atom_site_fract_y
_atom_site_fract_z
Mg1 0.202 0.081 0.307
Hg1 0.000 0.302 0.250
Cl1 0.116 0.410 0.587
Cl2 0.123 0.227 0.117
Cl3 0.145 0.061 0.584
```